An optimized crystal structure of NdZn12, computed with PBE.

Output
For the electronic total energy, the calculation gives -1.736 eV per atom. The total magnetization is 0.000 μB per cell.

a = 6.8176 Å, b = 6.8176 Å, c = 6.8176 Å
α = 98.74°, β = 98.74°, γ = 134.11°
Element x y z (fractional)
Nd: 0.0000 0.0000 0.0000
Zn: 0.0000 0.0000 0.5000
Zn: 0.0000 0.3547 0.3547
Zn: 0.0000 0.5000 0.0000
Zn: 0.0000 0.6453 0.6453
Zn: 0.2803 0.5000 0.7803
Zn: 0.3547 0.0000 0.3547
Zn: 0.5000 0.0000 0.0000
Zn: 0.5000 0.2803 0.7803
Zn: 0.5000 0.5000 0.5000
Zn: 0.5000 0.7197 0.2197
Zn: 0.6453 0.0000 0.6453
Zn: 0.7197 0.5000 0.2197


An optimized crystal structure of NdEuAg, computed with PBE.

Output
For the electronic total energy, the calculation gives -5.972 eV per atom. Its excess energy over the best structure of this formula in the dataset is 39 kJ/mol of formula units. The total magnetization is 7.197 μB per cell.

a = 5.2219 Å, b = 5.2219 Å, c = 3.7670 Å
α = 90.00°, β = 90.00°, γ = 120.00°
Element x y z (fractional)
Nd: 0.0000 0.0000 0.0000
Eu: 0.6667 0.3333 0.4239
Ag: 0.3333 0.6667 0.7222


An optimized crystal structure of SmHf2As4, computed with PBE.

Output
For the electronic total energy, the calculation gives -7.093 eV per atom. The total magnetization is 0.000 μB per cell.

a = 6.6904 Å, b = 6.6904 Å, c = 12.9202 Å
α = 90.00°, β = 90.00°, γ = 146.17°
Element x y z (fractional)
Sm: 0.1096 0.8904 0.7500
Sm: 0.8904 0.1096 0.2500
Hf: 0.3659 0.6341 0.5585
Hf: 0.3659 0.6341 0.9415
Hf: 0.6341 0.3659 0.0585
Hf: 0.6341 0.3659 0.4415
As: 0.0000 0.0000 0.0000
As: 0.0000 0.0000 0.5000
As: 0.2636 0.7364 0.1253
As: 0.2636 0.7364 0.3747
As: 0.4367 0.5633 0.7500
As: 0.5633 0.4367 0.2500
As: 0.7364 0.2636 0.6253
As: 0.7364 0.2636 0.8747


Q: Among the records above, which one has the highest electronic total energy?
A: NdZn12